DFT (PBE+U) results for a relaxed structure of FePtNO2.

```
FePtNO2
1.0
3.6977 0.0000 0.0000
0.0000 3.6977 0.0000
0.0000 0.0000 4.0915
Pt O N Fe
1 2 1 1
direct
0.5000 0.5000 0.5000
0.5000 0.0000 0.0000
0.0000 0.5000 0.0000
0.0000 0.0000 0.5000
0.0000 0.0000 0.0000
```

Computed properties:
As for the space group: No. 123. The total energy comes out at -26.58 eV per cell. The volume is 11.188 Å³ per atom.